Entry 1:
First-principles (PBEsol) data for a relaxed KSr2Cr crystal, as listed in Alexandria.

Values from the calculation:
N(E_F): 18.8 states/eV per cell
formation energy: 656 meV/atom

The structure in CIF format:
```
data_KSr2Cr
_chemical_formula_sum 'K4 Sr8 Cr4'
_symmetry_space_group_name_H-M 'F m -3 m'
_symmetry_Int_Tables_number 225
_symmetry_space_group_name_Hall '-F 4 2 3'
_cell_length_a 8.612
_cell_length_b 8.612
_cell_length_c 8.612
_cell_angle_alpha 90.00
_cell_angle_beta 90.00
_cell_angle_gamma 90.00
loop_
_atom_site_label
_atom_site_type_symbol
_atom_site_fract_x
_atom_site_fract_y
_atom_site_fract_z
K1 K 0.000 0.000 0.000
Sr1 Sr 0.250 0.250 0.250
Cr1 Cr 0.000 0.000 0.500
```



Entry 2:
First-principles (PBEsol) data for a relaxed K2TaCr crystal, as listed in Alexandria.

Values from the calculation:
N(E_F): 8.6 states/eV per cell
formation energy: 1482 meV/atom

The structure in CIF format:
```
data_K2TaCr
_chemical_formula_sum 'K4 Ta2 Cr2'
_symmetry_space_group_name_H-M 'C m m m'
_symmetry_Int_Tables_number 65
_symmetry_space_group_name_Hall '-C 2 2'
_cell_length_a 3.074
_cell_length_b 5.138
_cell_length_c 12.553
_cell_angle_alpha 90.00
_cell_angle_beta 90.00
_cell_angle_gamma 90.00
loop_
_atom_site_label
_atom_site_type_symbol
_atom_site_fract_x
_atom_site_fract_y
_atom_site_fract_z
K1 K 0.000 0.000 0.245
Ta1 Ta 0.000 0.500 0.500
Cr1 Cr 0.000 0.500 0.000
```



Entry 3:
First-principles (PBEsol) data for a relaxed KTa2Cr crystal, as listed in Alexandria.

Values from the calculation:
N(E_F): 8.0 states/eV per cell
formation energy: 1202 meV/atom

The structure in CIF format:
```
data_KTa2Cr
_chemical_formula_sum 'K2 Ta4 Cr2'
_symmetry_space_group_name_H-M 'I m m m'
_symmetry_Int_Tables_number 71
_symmetry_space_group_name_Hall '-I 2 2'
_cell_length_a 2.817
_cell_length_b 5.525
_cell_length_c 10.314
_cell_angle_alpha 90.00
_cell_angle_beta 90.00
_cell_angle_gamma 90.00
loop_
_atom_site_label
_atom_site_type_symbol
_atom_site_fract_x
_atom_site_fract_y
_atom_site_fract_z
K1 K 0.000 0.000 0.000
Ta1 Ta 0.000 0.500 0.200
Cr1 Cr 0.000 0.000 0.500
```



Entry 4:
First-principles (PBEsol) data for a relaxed KTa2Cr crystal, as listed in Alexandria.

Values from the calculation:
N(E_F): 9.1 states/eV per cell
formation energy: 1507 meV/atom

The structure in CIF format:
```
data_KTa2Cr
_chemical_formula_sum 'K2 Ta4 Cr2'
_symmetry_space_group_name_H-M 'C m m m'
_symmetry_Int_Tables_number 65
_symmetry_space_group_name_Hall '-C 2 2'
_cell_length_a 5.580
_cell_length_b 10.202
_cell_length_c 2.733
_cell_angle_alpha 90.00
_cell_angle_beta 90.00
_cell_angle_gamma 90.00
loop_
_atom_site_label
_atom_site_type_symbol
_atom_site_fract_x
_atom_site_fract_y
_atom_site_fract_z
K1 K 0.000 0.000 0.000
Ta1 Ta 0.250 0.250 0.500
Cr1 Cr 0.000 0.500 0.000
```